Computed, not measured: a geometry-optimized Ag2Cl3 structure at the PBE level of DFT.

The value obtained for the energy above the lowest structure with this stoichiometry is 0.94 eV/f.u. The calculation puts the uncorrected formation energy at -202 meV per atom. As for the total energy: -2.4500 eV/atom. The value obtained for the density of states at the Fermi level is 5.693 states/eV per cell. For the magnetic moment, the calculation gives 0.0 μB/cell. As for the theoretical density: 4.8 g cm⁻³.

Cell: 5.0382 5.0382 5.1030 Å, 90.00 90.00 120.00°
Closest atoms and distances in Å follow each position.
Space group P-3m1 (No. 164)
Unique sites:
Ag1 0.3333 0.6667 0.3218 (multiplicity 2)  2 Cl 2.53-2.57
Cl1 0.0000 0.0000 0.5000 (multiplicity 1)  6 Ag 3.05, 6 Cl 3.35
Cl2 0.3333 0.6667 0.8252 (multiplicity 2)  2 Ag 2.53-2.57